# Li2NiF4 GGA+U optimized geometry
data_Li2NiF4
_cell_length_a 4.9648
_cell_length_b 9.6944
_cell_length_c 2.9910
_cell_angle_alpha 90.00
_cell_angle_beta 90.00
_cell_angle_gamma 90.00
_space_group_name_H-M_alt 'P b a m'
_space_group_IT_number 55
loop_
_space_group_symop_operation_xyz
'x,y,z'
'-x,-y,-z'
'-x,-y,z'
'x,y,-z'
'x+1/2,-y+1/2,-z'
'-x+1/2,y+1/2,z'
'-x+1/2,y+1/2,-z'
'x+1/2,-y+1/2,z'
loop_
_atom_site_label
_atom_site_type_symbol
_atom_site_fract_x
_atom_site_fract_y
_atom_site_fract_z
_atom_site_occupancy
Li1 Li 0.0197 0.2133 0.0000 1
Ni1 Ni 0.0000 0.5000 0.5000 1
F1 F 0.2133 0.4106 0.0000 1
F2 F 0.2295 0.6717 0.5000 1
# - E_tot (eV per atom) = -4.59
# - total magnetization (μB/f.u.) = 2.0